Computed, not measured: a relaxed PaBP2O8 crystal at the PBE-GGA level of DFT.

abc: 4.8880 4.8880 6.4848
angles: 90.00 90.00 120.00
Last column: nearest neighbours and their distance in Å.
Fractional coordinates of all 12 atoms:
Pa  0.0000  0.0000  0.0000  12 O 2.57-2.83
B  0.0000  0.0000  0.5000  6 O 1.70
P  0.3333  0.6667  0.2727  4 O 1.54-1.55
P  0.6667  0.3333  0.7273  4 O 1.54-1.55
O  0.1583  0.3166  0.3386  1 P 1.54, 1 B 1.70
O  0.1583  0.8417  0.3386  1 P 1.54, 1 B 1.70
O  0.3166  0.1583  0.6614  1 P 1.54, 1 B 1.70
O  0.3333  0.6667  0.0338  1 P 1.55
O  0.6667  0.3333  0.9662  1 P 1.55
O  0.6834  0.8417  0.3386  1 P 1.54, 1 B 1.70
O  0.8417  0.1583  0.6614  1 P 1.54, 1 B 1.70
O  0.8417  0.6834  0.6614  1 P 1.54, 1 B 1.70

Summary:
For the uncorrected formation energy, the calculation gives -195.5 kJ per mole of atoms. The space group is No. 164. For the calculated volume, the calculation gives 11.18 Å³/atom.

Computed, not measured: a relaxed BPPb4O8 crystal at the PBE-GGA level of DFT.

abc: 10.3442 7.1756 13.1716
angles: 90.00 112.83 90.00
Last column: nearest neighbours and their distance in Å.
Fractional coordinates of all 56 atoms:
B  0.0382  0.2424  0.3569  3 O 1.38-1.40
B  0.0382  0.2576  0.8569  3 O 1.38-1.40
B  0.9618  0.7424  0.1431  3 O 1.38-1.40
B  0.9618  0.7576  0.6431  3 O 1.38-1.40
P  0.3986  0.7494  0.6037  4 O 1.56-1.57
P  0.3986  0.7506  0.1037  4 O 1.56-1.57
P  0.6014  0.2494  0.8963  4 O 1.56-1.57
P  0.6014  0.2506  0.3963  4 O 1.56-1.57
Pb  0.0476  0.6925  0.4247  3 O 2.38-2.45
Pb  0.0476  0.8075  0.9247  3 O 2.38-2.45
Pb  0.2595  0.5033  0.7923  3 O 2.27-2.49
Pb  0.2595  0.9967  0.2923  3 O 2.27-2.49
Pb  0.2721  0.0067  0.7655  3 O 2.31-2.49
Pb  0.2721  0.4933  0.2655  3 O 2.31-2.49
Pb  0.3624  0.2267  0.0645  3 O 2.38-2.51
Pb  0.3624  0.2733  0.5645  3 O 2.38-2.51
Pb  0.6376  0.7267  0.4355  3 O 2.38-2.51
Pb  0.6376  0.7733  0.9355  3 O 2.38-2.51
Pb  0.7279  0.5067  0.7345  3 O 2.31-2.49
Pb  0.7279  0.9933  0.2345  3 O 2.31-2.49
Pb  0.7405  0.0033  0.7077  3 O 2.27-2.49
Pb  0.7405  0.4967  0.2077  3 O 2.27-2.49
Pb  0.9524  0.1925  0.0753  3 O 2.38-2.45
Pb  0.9524  0.3075  0.5753  3 O 2.38-2.45
O  0.0259  0.6251  0.5996  1 B 1.40
O  0.0259  0.8749  0.0996  1 B 1.40
O  0.0373  0.6050  0.2152  1 B 1.38
O  0.0373  0.8950  0.7152  1 B 1.38
O  0.1827  0.2493  0.8849  1 B 1.40
O  0.1827  0.2507  0.3849  1 B 1.40
O  0.2073  0.2238  0.1620  4 Pb 2.27-2.44
O  0.2073  0.2762  0.6620  4 Pb 2.27-2.44
O  0.2975  0.5816  0.0910  1 P 1.57
O  0.2975  0.9184  0.5910  1 P 1.57
O  0.3241  0.6095  0.5073  1 P 1.57
O  0.3241  0.8905  0.0073  1 P 1.57
O  0.4322  0.6475  0.7155  1 P 1.56
O  0.4322  0.8525  0.2155  1 P 1.56
O  0.4616  0.1830  0.4030  1 P 1.56
O  0.4616  0.3170  0.9030  1 P 1.56
O  0.5384  0.6830  0.0970  1 P 1.56
O  0.5384  0.8170  0.5970  1 P 1.56
O  0.5678  0.1475  0.7845  1 P 1.56
O  0.5678  0.3525  0.2845  1 P 1.56
O  0.6759  0.1095  0.9927  1 P 1.57
O  0.6759  0.3905  0.4927  1 P 1.57
O  0.7025  0.0816  0.4090  1 P 1.57
O  0.7025  0.4184  0.9090  1 P 1.57
O  0.7927  0.7238  0.3380  4 Pb 2.27-2.44
O  0.7927  0.7762  0.8380  4 Pb 2.27-2.44
O  0.8173  0.7493  0.6151  1 B 1.40
O  0.8173  0.7507  0.1151  1 B 1.40
O  0.9627  0.1050  0.2848  1 B 1.38
O  0.9627  0.3950  0.7848  1 B 1.38
O  0.9741  0.1251  0.9004  1 B 1.40
O  0.9741  0.3749  0.4004  1 B 1.40

Summary:
For the uncorrected formation energy, the calculation gives -168.5 kJ per mole of atoms. The space group is No. 14. For the calculated volume, the calculation gives 16.09 Å³/atom.

Computed, not measured: a relaxed BP2PbO8 crystal at the PBE-GGA level of DFT.

abc: 7.9257 7.9257 7.9257
angles: 35.37 35.37 35.37
Last column: nearest neighbours and their distance in Å.
Fractional coordinates of all 12 atoms:
B  0.0000  0.0000  0.0000  6 O 1.66
P  0.2673  0.2673  0.2673  4 O 1.53-1.56
P  0.7327  0.7327  0.7327  4 O 1.53-1.56
Pb  0.5000  0.5000  0.5000  6 O 2.86
O  0.1133  0.1133  0.6375  1 P 1.53, 1 B 1.66
O  0.1133  0.6375  0.1133  1 P 1.53, 1 B 1.66
O  0.1975  0.1975  0.1975  1 P 1.56
O  0.3625  0.8867  0.8867  1 P 1.53, 1 B 1.66
O  0.6375  0.1133  0.1133  1 P 1.53, 1 B 1.66
O  0.8025  0.8025  0.8025  1 P 1.56
O  0.8867  0.3625  0.8867  1 P 1.53, 1 B 1.66
O  0.8867  0.8867  0.3625  1 P 1.53, 1 B 1.66

Summary:
For the uncorrected formation energy, the calculation gives -149.5 kJ per mole of atoms. The space group is No. 166. For the calculated volume, the calculation gives 12.42 Å³/atom.

Computed, not measured: a relaxed BP2PdO crystal at the PBE-GGA level of DFT.

abc: 4.7490 4.7490 3.7600
angles: 90.00 90.00 90.00
Last column: nearest neighbours and their distance in Å.
Fractional coordinates of all 5 atoms:
B  0.0000  0.0000  0.0000  8 P 3.03, 4 O 3.36
P  0.0000  0.5000  0.5000  2 Pd 2.37
P  0.5000  0.0000  0.5000  2 Pd 2.37
Pd  0.5000  0.5000  0.5000  2 O 1.88
O  0.5000  0.5000  0.0000  2 Pd 1.88

Summary:
For the uncorrected formation energy, the calculation gives 133.6 kJ per mole of atoms. The space group is No. 123. For the calculated volume, the calculation gives 16.96 Å³/atom.

Computed, not measured: a relaxed BPPdO2 crystal at the PBE-GGA level of DFT.

abc: 3.1750 3.1750 7.5994
angles: 90.00 90.00 90.00
Last column: nearest neighbours and their distance in Å.
Fractional coordinates of all 5 atoms:
B  0.0000  0.0000  0.0000  4 O 1.59
P  0.0000  0.0000  0.5000  4 Pd 2.25
Pd  0.5000  0.5000  0.5000  4 P 2.25
O  0.0000  0.5000  0.0000  2 B 1.59
O  0.5000  0.0000  0.0000  2 B 1.59

Summary:
For the uncorrected formation energy, the calculation gives -15.1 kJ per mole of atoms. The space group is No. 123. For the calculated volume, the calculation gives 15.32 Å³/atom.

Computed, not measured: a relaxed BPPdO2 crystal at the PBE-GGA level of DFT.

abc: 3.7661 3.7661 5.1544
angles: 90.00 90.00 90.00
Last column: nearest neighbours and their distance in Å.
Fractional coordinates of all 5 atoms:
B  0.0000  0.0000  0.0000  4 P 2.66
P  0.5000  0.5000  0.0000  2 Pd 2.58, 4 B 2.66
Pd  0.5000  0.5000  0.5000  4 O 1.88
O  0.0000  0.5000  0.5000  2 Pd 1.88
O  0.5000  0.0000  0.5000  2 Pd 1.88

Summary:
For the uncorrected formation energy, the calculation gives 101.0 kJ per mole of atoms. The space group is No. 123. For the calculated volume, the calculation gives 14.62 Å³/atom.

Computed, not measured: a relaxed BP2PdO crystal at the PBE-GGA level of DFT.

abc: 4.7259 4.7259 2.7626
angles: 90.00 90.00 90.00
Last column: nearest neighbours and their distance in Å.
Fractional coordinates of all 5 atoms:
B  0.0000  0.0000  0.0000  2 O 1.38
P  0.0000  0.5000  0.0000  2 B 2.36
P  0.5000  0.0000  0.0000  2 B 2.36
Pd  0.5000  0.5000  0.5000  8 P 2.74, 2 Pd 2.76
O  0.0000  0.0000  0.5000  2 B 1.38

Summary:
For the uncorrected formation energy, the calculation gives 1.8 kJ per mole of atoms. The space group is No. 123. For the calculated volume, the calculation gives 12.34 Å³/atom.

Computed, not measured: a relaxed PrBP2O8 crystal at the PBE-GGA level of DFT.

abc: 4.8789 4.8789 6.4351
angles: 90.00 90.00 120.00
Last column: nearest neighbours and their distance in Å.
Fractional coordinates of all 12 atoms:
Pr  0.0000  0.0000  0.0000  12 O 2.55-2.82
B  0.0000  0.0000  0.5000  6 O 1.70
P  0.3333  0.6667  0.2715  4 O 1.54-1.55
P  0.6667  0.3333  0.7285  4 O 1.54-1.55
O  0.1583  0.3165  0.3376  1 P 1.54, 1 B 1.70
O  0.1583  0.8417  0.3376  1 P 1.54, 1 B 1.70
O  0.3165  0.1583  0.6624  1 P 1.54, 1 B 1.70
O  0.3333  0.6667  0.0307  1 P 1.55
O  0.6667  0.3333  0.9693  1 P 1.55
O  0.6835  0.8417  0.3376  1 P 1.54, 1 B 1.70
O  0.8417  0.1583  0.6624  1 P 1.54, 1 B 1.70
O  0.8417  0.6835  0.6624  1 P 1.54, 1 B 1.70

Summary:
For the uncorrected formation energy, the calculation gives -216.1 kJ per mole of atoms. The space group is No. 164. For the calculated volume, the calculation gives 11.05 Å³/atom.

Computed, not measured: a relaxed RbBP2O crystal at the PBE-GGA level of DFT.

abc: 5.6386 5.6386 4.3964
angles: 90.00 90.00 90.00
Last column: nearest neighbours and their distance in Å.
Fractional coordinates of all 5 atoms:
Rb  0.0000  0.0000  0.0000  2 O 2.20
B  0.5000  0.5000  0.5000  8 P 3.57, 4 O 3.99
P  0.0000  0.5000  0.0000  2 Rb 2.82
P  0.5000  0.0000  0.0000  2 Rb 2.82
O  0.0000  0.0000  0.5000  2 Rb 2.20

Summary:
For the uncorrected formation energy, the calculation gives 245.7 kJ per mole of atoms. The space group is No. 123. For the calculated volume, the calculation gives 27.96 Å³/atom.

Computed, not measured: a relaxed RbBP2O crystal at the PBE-GGA level of DFT.

abc: 3.9518 3.9518 6.7876
angles: 90.00 90.00 90.00
Last column: nearest neighbours and their distance in Å.
Fractional coordinates of all 5 atoms:
Rb  0.0000  0.0000  0.0000  4 O 2.79
B  0.5000  0.5000  0.5000  4 P 1.98
P  0.0000  0.5000  0.5000  2 B 1.98
P  0.5000  0.0000  0.5000  2 B 1.98
O  0.5000  0.5000  0.0000  4 Rb 2.79

Summary:
For the uncorrected formation energy, the calculation gives 54.5 kJ per mole of atoms. The space group is No. 123. For the calculated volume, the calculation gives 21.20 Å³/atom.

Computed, not measured: a relaxed BPRhO2 crystal at the PBE-GGA level of DFT.

abc: 3.6819 3.6819 5.2286
angles: 90.00 90.00 90.00
Last column: nearest neighbours and their distance in Å.
Fractional coordinates of all 5 atoms:
B  0.0000  0.0000  0.0000  4 P 2.60
P  0.5000  0.5000  0.0000  4 B 2.60, 2 Rh 2.61
Rh  0.5000  0.5000  0.5000  4 O 1.84
O  0.0000  0.5000  0.5000  2 Rh 1.84
O  0.5000  0.0000  0.5000  2 Rh 1.84

Summary:
For the uncorrected formation energy, the calculation gives 64.3 kJ per mole of atoms. The space group is No. 123. For the calculated volume, the calculation gives 14.18 Å³/atom.

Computed, not measured: a relaxed BP2RhO crystal at the PBE-GGA level of DFT.

abc: 4.7316 4.7316 3.6462
angles: 90.00 90.00 90.00
Last column: nearest neighbours and their distance in Å.
Fractional coordinates of all 5 atoms:
B  0.0000  0.0000  0.0000  8 P 2.99
P  0.0000  0.5000  0.5000  2 Rh 2.37
P  0.5000  0.0000  0.5000  2 Rh 2.37
Rh  0.5000  0.5000  0.5000  2 O 1.82
O  0.5000  0.5000  0.0000  2 Rh 1.82

Summary:
For the uncorrected formation energy, the calculation gives 107.9 kJ per mole of atoms. The space group is No. 123. For the calculated volume, the calculation gives 16.33 Å³/atom.

Question: Which formula does entry 7 have?
Answer: BP2PdO